(1)
DFT (GGA-PBEsol) results for crystalline SrCuSb3 at its relaxed geometry.

The structure belongs to space group Pm-3m (No. 221); the cell edges are 5.8303, 5.8303 and 5.8303 Å and the angles 90.00°, 90.00° and 90.00°. The distinct sites, in fractional coordinates, are Sr at (0.0000, 0.0000, 0.0000), Cu at (0.5000, 0.5000, 0.5000) and Sb at (0.0000, 0.0000, 0.5000).

As for the crystal system: cubic. Its uncorrected formation energy is 1.287 eV/atom. For the spin magnetization, the calculation gives 0.0 μB per formula unit.

***

(2)
DFT (GGA-PBEsol) results for crystalline LaCu2Tc at its relaxed geometry.

The structure belongs to space group Imm2 (No. 44); the cell edges are 3.5263, 4.5334 and 8.2455 Å and the angles 90.00°, 90.00° and 90.00°. The distinct sites, in fractional coordinates, are La at (0.0000, 0.0000, 0.0000), Cu at (0.0000, 0.0000, 0.5077), Cu at (0.0000, 0.5000, 0.2281) and Tc at (0.0000, 0.5000, 0.7574).

As for the crystal system: orthorhombic. Its formation energy is 0.39 eV per atom. For the spin magnetization, the calculation gives 0.0 μB per formula unit.

***

(3)
DFT (GGA-PBEsol) results for crystalline CoRe3Se at its relaxed geometry.

The structure belongs to space group Pm-3m (No. 221); the cell edges are 4.3975, 4.3975 and 4.3975 Å and the angles 90.00°, 90.00° and 90.00°. The distinct sites, in fractional coordinates, are Co at (0.0000, 0.0000, 0.0000), Re at (0.0000, 0.0000, 0.5000) and Se at (0.5000, 0.5000, 0.5000).

As for the crystal system: cubic. Its uncorrected formation energy is 1.882 eV/atom. For the spin magnetization, the calculation gives 0.0 μB per formula unit.

***

(4)
DFT (GGA-PBEsol) results for crystalline TaAl2W at its relaxed geometry.

The structure belongs to space group P2/m (No. 10); the cell edges are 2.7544, 4.2559 and 5.5023 Å and the angles 90.00°, 103.58° and 90.00°. The distinct sites, in fractional coordinates, are Ta at (0.0000, 0.0000, 0.0000), Al at (0.4680, 0.5000, 0.7434) and W at (0.0000, 0.0000, 0.5000).

As for the crystal system: monoclinic. Its formation energy is -0.10 eV per atom. For the spin magnetization, the calculation gives 0.0 μB per formula unit.

***

(5)
DFT (GGA-PBEsol) results for crystalline Ru2W at its relaxed geometry.

The structure belongs to space group Cmcm (No. 63); the cell edges are 8.2300, 4.7298 and 4.3486 Å and the angles 90.00°, 90.00° and 90.00°. The distinct sites, in fractional coordinates, are Ru at (0.1692, 0.1681, 0.2500) and W at (0.0000, 0.3227, 0.7500).

As for the crystal system: orthorhombic. Its formation energy is 0.04 eV per atom. For the spin magnetization, the calculation gives 0.0 μB per formula unit.

***

(6)
DFT (GGA-PBEsol) results for crystalline BaTaMnPb2 at its relaxed geometry.

The structure belongs to space group P4/mmm (No. 123); the cell edges are 5.4444, 5.4444 and 5.8322 Å and the angles 90.00°, 90.00° and 90.00°. The distinct sites, in fractional coordinates, are Ba at (0.0000, 0.0000, 0.0000), Ta at (0.0000, 0.0000, 0.5000), Mn at (0.5000, 0.5000, 0.0000) and Pb at (0.0000, 0.5000, 0.5000).

As for the crystal system: tetragonal. Its formation energy is 1.05 eV per atom. For the spin magnetization, the calculation gives 5.0 μB per formula unit.

***

(7)
DFT (GGA-PBEsol) results for crystalline KTl2Au at its relaxed geometry.

The structure belongs to space group P2/m (No. 10); the cell edges are 3.8942, 4.6140 and 6.5630 Å and the angles 90.00°, 106.27° and 90.00°. The distinct sites, in fractional coordinates, are K at (0.0000, 0.0000, 0.0000), Tl at (0.3300, 0.5000, 0.7102) and Au at (0.5000, 0.0000, 0.5000).

As for the crystal system: monoclinic. Its formation energy is -0.05 eV per atom. For the spin magnetization, the calculation gives 0.0 μB per formula unit.

***

(8)
DFT (GGA-PBEsol) results for crystalline TaPtPb at its relaxed geometry.

The structure belongs to space group F-43m (No. 216); the cell edges are 6.3607, 6.3607 and 6.3607 Å and the angles 90.00°, 90.00° and 90.00°. The distinct sites, in fractional coordinates, are Ta at (0.0000, 0.0000, 0.0000), Pt at (0.0000, 0.0000, 0.5000) and Pb at (0.2500, 0.2500, 0.2500).

As for the crystal system: cubic. Its formation energy is 0.86 eV per atom. For the spin magnetization, the calculation gives 1.1 μB per formula unit.